i | PBE Sr4Sb2S, relaxed; magnetic moment = 0.000 μB/cell
1.0
-5.400 -0.535 -0.844
0.351 -5.358 1.153
1.048 4.650 8.215
Sb Sr S
2 4 1
Direct
0.633 0.633 0.266 Sb
0.367 0.367 0.734 Sb
0.823 0.823 0.645 Sr
0.500 0.000 0.000 Sr
0.177 0.177 0.355 Sr
0.000 0.500 0.000 Sr
0.000 0.000 0.000 S

---

ii | PBE Sr4Sb2S, relaxed; magnetic moment = 0.000 μB/cell
1.0
6.999 0.000 -2.854
0.000 8.270 0.000
-0.346 0.000 9.162
Sr Sb S
8 4 2
Direct
0.229 0.250 0.957 Sr
0.771 0.750 0.043 Sr
0.271 0.750 0.043 Sr
0.820 0.915 0.641 Sr
0.180 0.085 0.359 Sr
0.680 0.415 0.359 Sr
0.320 0.585 0.641 Sr
0.729 0.250 0.957 Sr
0.368 0.972 0.736 Sb
0.132 0.472 0.264 Sb
0.868 0.528 0.736 Sb
0.632 0.028 0.264 Sb
0.000 0.000 0.000 S
0.500 0.500 0.000 S

---

Energies relative to the minimum, meV per atom: i 32; ii 0

---

i | PBE SrSbTe2S, relaxed; magnetic moment = 0.000 μB/cell; density of states at the Fermi level = 5.20 states/eV/cell
1.0
-0.477 5.356 -0.084
-5.007 -0.476 -1.903
-1.888 -0.090 4.988
Sb Sr Te S
1 1 2 1
Direct
0.000 0.000 0.500 Sb
0.500 0.500 0.500 Sr
0.500 0.000 0.000 Te
0.000 0.500 0.000 Te
0.000 0.000 0.000 S

---

ii | PBE SrSbTe2S, relaxed; magnetic moment = 0.000 μB/cell; density of states at the Fermi level = 3.14 states/eV/cell
1.0
5.341 0.000 0.000
0.000 5.617 0.000
0.000 0.000 5.341
Sb S Te Sr
1 1 2 1
Direct
0.500 0.500 0.500 Sb
0.000 0.000 0.000 S
0.500 0.000 0.000 Te
0.000 0.000 0.500 Te
0.000 0.500 0.000 Sr

---

iii | PBE SrSbTe2S, relaxed; magnetic moment = 1.866 μB/cell; density of states at the Fermi level = 7.70 states/eV/cell
1.0
-0.159 -3.470 5.028
-3.729 -3.928 -2.829
5.025 -3.263 -2.093
Sb Te S Sr
1 2 1 1
Direct
0.000 0.000 0.500 Sb
0.000 0.500 0.000 Te
0.500 0.000 0.000 Te
0.500 0.500 0.500 S
0.000 0.000 0.000 Sr

---

Energies relative to the minimum, meV per atom: i 0; ii 68; iii 1091

---

i | PBE SrSb2TeS, relaxed; magnetic moment = 1.597 μB/cell; density of states at the Fermi level = 6.33 states/eV/cell
1.0
6.136 0.000 0.000
0.000 6.136 0.000
0.000 0.000 5.983
S Sb Te Sr
1 2 1 1
Direct
0.500 0.500 0.500 S
0.000 0.500 0.000 Sb
0.500 0.000 0.000 Sb
0.000 0.000 0.500 Te
0.000 0.000 0.000 Sr

---

ii | PBE SrSb2TeS, relaxed; magnetic moment = 0.000 μB/cell; density of states at the Fermi level = 1.85 states/eV/cell
1.0
5.311 0.000 0.000
0.000 5.311 0.000
0.000 0.000 5.423
Sr Te Sb S
1 1 2 1
Direct
0.500 0.500 0.500 Sr
0.000 0.000 0.500 Te
0.500 0.000 0.000 Sb
0.000 0.500 0.000 Sb
0.000 0.000 0.000 S

---

Energies relative to the minimum, meV per atom: i 1168; ii 0

---

i | PBE Ta2SbS, relaxed; magnetic moment = 0.000 μB/cell; density of states at the Fermi level = 5.72 states/eV/cell
1.0
0.000 3.287 3.287
3.287 0.000 3.287
3.287 3.287 0.000
Sb S Ta
1 1 2
Direct
0.500 0.500 0.500 Sb
0.000 0.000 0.000 S
0.250 0.250 0.250 Ta
0.750 0.750 0.750 Ta

---

ii | PBE Ta2SbS, relaxed; magnetic moment = 0.000 μB/cell; density of states at the Fermi level = 8.66 states/eV/cell
1.0
-3.369 -3.593 -0.482
0.530 -1.139 4.787
-6.957 2.586 3.943
Sb Ta S
2 4 2
Direct
0.000 0.000 0.000 Sb
0.750 0.250 0.500 Sb
0.875 0.785 0.750 Ta
0.535 0.125 0.250 Ta
0.375 0.465 0.750 Ta
0.215 0.625 0.250 Ta
0.500 0.500 0.000 S
0.250 0.750 0.500 S

---

Energies relative to the minimum, meV per atom: i 0; ii 286

---

i | PBE TaSbS, relaxed; magnetic moment = 0.000 μB/cell; density of states at the Fermi level = 1.32 states/eV/cell
1.0
3.270 0.000 0.000
-1.635 2.832 0.000
0.000 0.000 7.741
Ta Sb S
1 1 1
Direct
0.667 0.333 0.364 Ta
0.000 0.000 0.069 Sb
0.333 0.667 0.567 S

---

ii | PBE TaSbS, relaxed; magnetic moment = 0.000 μB/cell; density of states at the Fermi level = 2.79 states/eV/cell
1.0
3.201 -0.342 0.503
0.782 6.770 -0.268
2.241 -0.710 6.571
Sb S Ta
2 2 2
Direct
0.141 0.304 0.107 Sb
0.859 0.696 0.893 Sb
0.859 0.773 0.392 S
0.141 0.227 0.608 S
0.487 0.001 0.264 Ta
0.513 0.999 0.736 Ta

---

Energies relative to the minimum, meV per atom: i 0; ii 65

---

i | PBE TaSb3S, relaxed; magnetic moment = 0.011 μB/cell; density of states at the Fermi level = 2.47 states/eV/cell
1.0
-0.804 -5.133 -1.008
4.649 -0.233 -2.518
2.398 -1.268 4.545
Sb S Ta
3 1 1
Direct
0.000 0.000 0.500 Sb
0.500 0.000 0.000 Sb
0.000 0.500 0.000 Sb
0.500 0.500 0.500 S
0.000 0.000 0.000 Ta

---

ii | PBE TaSb3S, relaxed; magnetic moment = 1.572 μB/cell; density of states at the Fermi level = 5.67 states/eV/cell
1.0
5.054 0.000 0.000
0.000 5.054 0.000
0.000 0.000 5.054
S Sb Ta
1 3 1
Direct
0.000 0.000 0.000 S
0.000 0.500 0.000 Sb
0.000 0.000 0.500 Sb
0.500 0.000 0.000 Sb
0.500 0.500 0.500 Ta

---

Energies relative to the minimum, meV per atom: i 0; ii 469